No. 1
{
  "formula": "Ac2ErTl",
  "functional": "PBE-GGA",
  "state": "relaxed",
  "lattice": [[8.3292, 0.0000, 0.0000], [0.0000, 8.3292, 0.0000], [0.0000, 0.0000, 8.3292]],
  "species": ["Ac", "Ac", "Ac", "Ac", "Ac", "Ac", "Ac", "Ac", "Er", "Er", "Er", "Er", "Tl", "Tl", "Tl", "Tl"],
  "frac_coords": [[0.2500, 0.2500, 0.2500], [0.2500, 0.2500, 0.7500], [0.2500, 0.7500, 0.2500], [0.2500, 0.7500, 0.7500], [0.7500, 0.2500, 0.2500], [0.7500, 0.2500, 0.7500], [0.7500, 0.7500, 0.2500], [0.7500, 0.7500, 0.7500], [0.0000, 0.0000, 0.0000], [0.0000, 0.5000, 0.5000], [0.5000, 0.0000, 0.5000], [0.5000, 0.5000, 0.0000], [0.0000, 0.0000, 0.5000], [0.0000, 0.5000, 0.0000], [0.5000, 0.0000, 0.0000], [0.5000, 0.5000, 0.5000]],
  "sg": "Fm-3m, No. 225",
  "polymorph_energy_ev_per_atom": 0.0690
}



No. 2
{
  "formula": "CaCrIn2",
  "functional": "PBE-GGA",
  "state": "relaxed",
  "lattice": [[4.5856, 0.0000, 0.0000], [0.0000, 4.5856, 0.0000], [0.0000, 0.0000, 20.9250]],
  "species": ["Ca", "Ca", "Ca", "Ca", "Cr", "Cr", "Cr", "Cr", "In", "In", "In", "In", "In", "In", "In", "In"],
  "frac_coords": [[0.0000, 0.0000, 0.0000], [0.0000, 0.5000, 0.2500], [0.5000, 0.0000, 0.7500], [0.5000, 0.5000, 0.5000], [0.0000, 0.0000, 0.5000], [0.0000, 0.5000, 0.7500], [0.5000, 0.0000, 0.2500], [0.5000, 0.5000, 0.0000], [0.2151, 0.2500, 0.6250], [0.2500, 0.7151, 0.8750], [0.2500, 0.7849, 0.3750], [0.2849, 0.2500, 0.1250], [0.7151, 0.7500, 0.1250], [0.7500, 0.2151, 0.3750], [0.7500, 0.2849, 0.8750], [0.7849, 0.7500, 0.6250]],
  "sg": "I-42d, No. 122"
}



No. 3
{
  "formula": "LiLa2Re",
  "functional": "PBE-GGA",
  "state": "relaxed",
  "lattice": [[3.5426, 0.0000, 0.0000], [-1.7713, 3.0680, 0.0000], [0.0000, 0.0000, 30.7656]],
  "species": ["Li", "Li", "Li", "La", "La", "La", "La", "La", "La", "Re", "Re", "Re"],
  "frac_coords": [[0.0000, 0.0000, 0.0000], [0.3333, 0.6667, 0.6667], [0.6667, 0.3333, 0.3333], [0.0000, 0.0000, 0.2360], [0.0000, 0.0000, 0.7640], [0.3333, 0.6667, 0.4306], [0.3333, 0.6667, 0.9027], [0.6667, 0.3333, 0.0973], [0.6667, 0.3333, 0.5694], [0.0000, 0.0000, 0.5000], [0.3333, 0.6667, 0.1667], [0.6667, 0.3333, 0.8333]],
  "sg": "R-3m, No. 166"
}



What are the magnetic moment values for these records? In order: 0.01; 17.15; 0.00 Bohr magnetons per cell.
What are the E_tot values for these records? In order: -3.812; -3.945; -5.608 eV/atom.
What are the ΔH_f (0 K) values for these records? In order: -0.03; 0.33; 0.45 eV/atom.